A plane-wave DFT calculation with PBE with a Hubbard U was carried out for an optimized crystal structure of PtWI2O.

raw total energy: -0.14886 Ha/atom
crystal system: tetragonal
energy above the lowest structure with this stoichiometry: 0 meV/atom
volume: 25.4 A^3/atom

a = 5.761 Å, b = 5.761 Å, c = 3.825 Å
α = 90.00°, β = 90.00°, γ = 90.00°
Positions (direct):
I (0.000, 0.500, 0.000)
I (0.500, 0.000, 0.000)
O (0.000, 0.000, 0.500)
W (0.000, 0.000, 0.000)
Pt (0.500, 0.500, 0.500)